Material: Pr2Y3Pd2
Method: DFT, PBE
State: optimized geometry

size of the total moment	0.00	μB/atom
crystal system	monoclinic
ΔE_f	-3.5	eV per formula unit

```
data_Pr2Y3Pd2
_chemical_formula_sum 'Pr4 Y6 Pd4'
_space_group_name_H-M_alt 'C 1 2/m 1'
_space_group_IT_number 12
_cell_length_a 12.760
_cell_length_b 3.745
_cell_length_c 9.270
_cell_angle_alpha 90.00
_cell_angle_beta 117.60
_cell_angle_gamma 90.00
loop_
_space_group_symop_operation_xyz
'x,y,z'
'-x,-y,-z'
'-x,y,-z'
'x,-y,z'
'x+1/2,y+1/2,z'
'-x+1/2,-y+1/2,-z'
'-x+1/2,y+1/2,-z'
'x+1/2,-y+1/2,z'
loop_
_atom_site_label
_atom_site_fract_x
_atom_site_fract_y
_atom_site_fract_z
Pr1 0.157 0.000 0.314
Y1 0.000 0.500 0.500
Y2 0.115 0.500 0.940
Pd1 0.166 0.000 0.740
```


Material: PrYPd2
Method: DFT, PBE
State: optimized geometry

size of the total moment	0.00	μB/atom
crystal system	trigonal
ΔE_f	-2.8	eV per formula unit

```
data_PrYPd2
_chemical_formula_sum 'Pr3 Y3 Pd6'
_space_group_name_H-M_alt 'R -3 m'
_space_group_IT_number 166
_space_group_name_Hall '-R 3 2"'
_cell_length_a 4.1891
_cell_length_b 4.1891
_cell_length_c 20.1967
_cell_angle_alpha 90.00
_cell_angle_beta 90.00
_cell_angle_gamma 120.00
loop_
_atom_site_label
_atom_site_fract_x
_atom_site_fract_y
_atom_site_fract_z
Pr1 0.0000 0.0000 0.0000
Y1 0.0000 0.0000 0.5000
Pd1 0.0000 0.0000 0.2455
```


Material: PrYPd
Method: DFT, PBE
State: optimized geometry

size of the total moment	0.00	μB/atom
crystal system	cubic
ΔE_f	-1.2	eV per formula unit

```
data_PrYPd
_chemical_formula_sum 'Pr4 Y4 Pd4'
_space_group_name_H-M_alt 'F -4 3 m'
_space_group_IT_number 216
_space_group_name_Hall 'F -4 2 3'
_cell_length_a 7.070
_cell_length_b 7.070
_cell_length_c 7.070
_cell_angle_alpha 90.00
_cell_angle_beta 90.00
_cell_angle_gamma 90.00
loop_
_atom_site_label
_atom_site_fract_x
_atom_site_fract_y
_atom_site_fract_z
Pr1 0.000 0.000 0.000
Y1 0.000 0.000 0.500
Pd1 0.250 0.250 0.250
```


Material: PrYPd
Method: DFT, PBE
State: optimized geometry

size of the total moment	0.00	μB/atom
crystal system	trigonal
ΔE_f	-1.1	eV per formula unit

```
data_PrYPd
_chemical_formula_sum 'Pr1 Y1 Pd1'
_space_group_name_H-M_alt 'P 3 m 1'
_space_group_IT_number 156
_cell_length_a 4.8244
_cell_length_b 4.8244
_cell_length_c 4.0408
_cell_angle_alpha 90.00
_cell_angle_beta 90.00
_cell_angle_gamma 120.00
loop_
_space_group_symop_operation_xyz
'x,y,z'
'-y,x-y,z'
'-x+y,-x,z'
'-y,-x,z'
'-x+y,y,z'
'x,x-y,z'
loop_
_atom_site_label
_atom_site_fract_x
_atom_site_fract_y
_atom_site_fract_z
Pr1 0.0000 0.0000 0.0000
Y1 0.6667 0.3333 0.4692
Pd1 0.3333 0.6667 0.6526
```


Material: Pr2YPd2
Method: DFT, PBE
State: optimized geometry

size of the total moment	0.00	μB/atom
crystal system	tetragonal
ΔE_f	-3.2	eV per formula unit

```
data_Pr2YPd2
_chemical_formula_sum 'Pr4 Y2 Pd4'
_space_group_name_H-M_alt 'P 4/m b m'
_space_group_IT_number 127
_space_group_name_Hall '-P 4 2ab'
_cell_length_a 7.996
_cell_length_b 7.996
_cell_length_c 4.090
_cell_angle_alpha 90.00
_cell_angle_beta 90.00
_cell_angle_gamma 90.00
loop_
_atom_site_label
_atom_site_fract_x
_atom_site_fract_y
_atom_site_fract_z
Pr1 0.169 0.331 0.000
Y1 0.000 0.000 0.500
Pd1 0.129 0.629 0.500
```


Material: PrYPd
Method: DFT, PBE
State: optimized geometry

size of the total moment	0.00	μB/atom
crystal system	trigonal
ΔE_f	-1.1	eV per formula unit

```
data_PrYPd
_chemical_formula_sum 'Pr3 Y3 Pd3'
_space_group_name_H-M_alt 'R 3 m'
_space_group_IT_number 160
_space_group_name_Hall 'R 3 -2"'
_cell_length_a 3.8332
_cell_length_b 3.8332
_cell_length_c 21.0870
_cell_angle_alpha 90.00
_cell_angle_beta 90.00
_cell_angle_gamma 120.00
loop_
_atom_site_label
_atom_site_fract_x
_atom_site_fract_y
_atom_site_fract_z
Pr1 0.0000 0.0000 0.0000
Y1 0.0000 0.0000 0.8185
Pd1 0.0000 0.0000 0.5711
```


Material: PrY4Pd
Method: DFT, PBE
State: optimized geometry

size of the total moment	0.00	μB/atom
crystal system	monoclinic
ΔE_f	-1.2	eV per formula unit

```
data_PrY4Pd
_chemical_formula_sum 'Pr4 Y16 Pd4'
_space_group_name_H-M_alt 'C 1 2/c 1'
_space_group_IT_number 15
_cell_length_a 9.309
_cell_length_b 13.228
_cell_length_c 6.181
_cell_angle_alpha 90.00
_cell_angle_beta 108.22
_cell_angle_gamma 90.00
loop_
_space_group_symop_operation_xyz
'x,y,z'
'-x,-y,-z'
'-x,y,-z+1/2'
'x,-y,z+1/2'
'x+1/2,y+1/2,z'
'-x+1/2,-y+1/2,-z'
'-x+1/2,y+1/2,-z+1/2'
'x+1/2,-y+1/2,z+1/2'
loop_
_atom_site_label
_atom_site_fract_x
_atom_site_fract_y
_atom_site_fract_z
Pr1 0.000 0.107 0.250
Y1 0.112 0.327 0.559
Y2 0.232 0.096 0.865
Pd1 0.000 0.499 0.250
```


Material: PrYZnPd
Method: DFT, PBE
State: optimized geometry

size of the total moment	0.00	μB/atom
crystal system	cubic
ΔE_f	-2.1	eV per formula unit

```
data_PrYZnPd
_chemical_formula_sum 'Pr4 Y4 Zn4 Pd4'
_space_group_name_H-M_alt 'F -4 3 m'
_space_group_IT_number 216
_space_group_name_Hall 'F -4 2 3'
_cell_length_a 7.241
_cell_length_b 7.241
_cell_length_c 7.241
_cell_angle_alpha 90.00
_cell_angle_beta 90.00
_cell_angle_gamma 90.00
loop_
_atom_site_label
_atom_site_fract_x
_atom_site_fract_y
_atom_site_fract_z
Pr1 0.000 0.000 0.000
Y1 0.000 0.000 0.500
Zn1 0.250 0.250 0.750
Pd1 0.250 0.250 0.250
```


| no. | VASP energy (eV/cell) | N(E_F) (states/eV/atom) |
| --- | --- | --- |
| 1 | -85.72 | 1.21 |
| 2 | -73.14 | 0.64 |
| 3 | -70.54 | 1.15 |
| 4 | -17.52 | 0.92 |
| 5 | -59.27 | 0.94 |
| 6 | -52.61 | 1.23 |
| 7 | -148.29 | 1.29 |
| 8 | -79.32 | 0.83 |